Entry from Alexandria via LeMat-Bulk: Np2Ni2P3 after structural relaxation (PBE-GGA).

Lattice parameters (Å, degrees): 3.7901 6.4486 5.6496 104.58 109.60 90.00
Closest atoms and distances in Å follow each position.
Atoms (fractional coordinates):
Np: 0.4071 0.1969 0.8143  5 P 2.71-2.93
Np: 0.5929 0.8031 0.1857  5 P 2.71-2.93
P: 0.7051 0.2351 0.4102  3 Ni 2.22-2.36
Ni: 0.8211 0.6029 0.6423  4 P 2.18-2.36
P: 0.2949 0.7649 0.5898  3 Ni 2.22-2.36
P: 0.0000 0.5000 0.0000  2 Ni 2.18
Ni: 0.1789 0.3971 0.3577  4 P 2.18-2.36

## Properties
Total magnetization   7.4 μB per cell
DOS at the Fermi energy   2.440 states/eV/atom
Final energy   -8.23 eV per atom
Energy relative to the elements   -0.56 eV/atom
Excess energy over the best structure of this formula in the dataset   101.0 meV per atom

***

Entry from Alexandria via LeMat-Bulk: NpNi3P2 after structural relaxation (PBE-GGA).

Lattice parameters (Å, degrees): 3.7095 7.2686 6.9348 113.99 90.00 104.78
Closest atoms and distances in Å follow each position.
Atoms (fractional coordinates):
P: 0.5194 0.0387 0.1762  4 Ni 2.23-2.26, 1 P 2.27
Ni: 0.9559 0.9117 0.6301  3 P 2.23-2.25
Ni: 0.0441 0.0883 0.3699  3 P 2.23-2.25
P: 0.1889 0.3778 0.6799  6 Ni 2.25-2.48
Ni: 0.6843 0.3686 0.4379  4 P 2.25-2.48, 3 Ni 2.48-2.50
Np: 0.1539 0.3077 0.0659  7 P 2.86-2.97, 6 Ni 3.06-3.13
Ni: 0.4039 0.8079 0.3190  3 P 2.23-2.27, 1 Ni 2.48
Ni: 0.3157 0.6314 0.5621  4 P 2.25-2.48, 3 Ni 2.48-2.50
Np: 0.8461 0.6923 0.9341  7 P 2.86-2.97, 6 Ni 3.06-3.13
P: 0.4806 0.9613 0.8238  4 Ni 2.23-2.26, 1 P 2.27
Ni: 0.5961 0.1921 0.6810  3 P 2.23-2.27, 1 Ni 2.48
P: 0.8111 0.6222 0.3201  6 Ni 2.25-2.48

## Properties
Total magnetization   7.5 μB per cell
DOS at the Fermi energy   1.327 states/eV/atom
Final energy   -7.51 eV per atom
Energy relative to the elements   -0.66 eV/atom
Excess energy over the best structure of this formula in the dataset   0.0 meV per atom

***

Entry from Alexandria via LeMat-Bulk: NpNi3P3 after structural relaxation (PBE-GGA).

Lattice parameters (Å, degrees): 6.0866 6.0866 6.0866 90.00 90.00 90.00
Closest atoms and distances in Å follow each position.
Atoms (fractional coordinates):
Np: 0.5000 0.5000 0.5000  12 Ni 3.40, 12 P 3.40
Ni: 0.0000 0.2500 0.5000  4 P 2.15
Ni: 0.5000 0.0000 0.7500  4 P 2.15
Ni: 0.2500 0.5000 0.0000  4 P 2.15
P: 0.5000 0.7500 0.0000  4 Ni 2.15
P: 0.0000 0.5000 0.7500  4 Ni 2.15
P: 0.0000 0.5000 0.2500  4 Ni 2.15
P: 0.2500 0.0000 0.5000  4 Ni 2.15
Ni: 0.7500 0.5000 0.0000  4 P 2.15
P: 0.7500 0.0000 0.5000  4 Ni 2.15
Np: 0.0000 0.0000 0.0000  12 P 3.40, 12 Ni 3.40
Ni: 0.0000 0.7500 0.5000  4 P 2.15
P: 0.5000 0.2500 0.0000  4 Ni 2.15
Ni: 0.5000 0.0000 0.2500  4 P 2.15

## Properties
Total magnetization   8.1 μB per cell
DOS at the Fermi energy   1.876 states/eV/atom
Final energy   -7.06 eV per atom
Energy relative to the elements   -0.41 eV/atom
Excess energy over the best structure of this formula in the dataset   163.0 meV per atom

***

Entry from Alexandria via LeMat-Bulk: NpNi3P3 after structural relaxation (PBE-GGA).

Lattice parameters (Å, degrees): 6.3682 6.3682 7.3936 64.49 64.49 60.00
Closest atoms and distances in Å follow each position.
Atoms (fractional coordinates):
P: 0.4153 0.0917 0.7301  4 Ni 2.22-2.27
Ni: 0.5379 0.2078 0.3791  4 P 2.22-2.27
Np: 0.3330 0.3330 0.0011  6 P 2.76
P: 0.9083 0.2372 0.2699  4 Ni 2.22-2.27
Ni: 0.1247 0.4621 0.6209  4 P 2.22-2.27
P: 0.5847 0.9083 0.2699  4 Ni 2.22-2.27
P: 0.0917 0.7628 0.7301  4 Ni 2.22-2.27
Np: 0.6670 0.6670 0.9989  6 P 2.76
Ni: 0.4621 0.7922 0.6209  4 P 2.22-2.27
Ni: 0.8753 0.5379 0.3791  4 P 2.22-2.27
P: 0.7628 0.4153 0.7301  4 Ni 2.22-2.27
P: 0.2372 0.5847 0.2699  4 Ni 2.22-2.27
Ni: 0.7922 0.1247 0.6209  4 P 2.22-2.27
Ni: 0.2078 0.8753 0.3791  4 P 2.22-2.27

## Properties
Total magnetization   6.7 μB per cell
DOS at the Fermi energy   1.265 states/eV/atom
Final energy   -7.22 eV per atom
Energy relative to the elements   -0.58 eV/atom
Excess energy over the best structure of this formula in the dataset   0.0 meV per atom

***

Entry from Alexandria via LeMat-Bulk: NpNi4P4 after structural relaxation (PBE-GGA).

Lattice parameters (Å, degrees): 5.7873 5.7873 7.3166 90.00 90.00 90.00
Closest atoms and distances in Å follow each position.
Atoms (fractional coordinates):
P: 0.0000 0.7240 0.6927  5 Ni 2.20-2.35
Ni: 0.5000 0.7787 0.1085  5 P 2.20-2.35
Np: 0.0000 0.0000 0.0000  4 P 2.76
P: 0.0000 0.2760 0.6927  5 Ni 2.20-2.35
Ni: 0.2787 0.0000 0.6085  5 P 2.20-2.35
Np: 0.5000 0.5000 0.5000  4 P 2.76
Ni: 0.0000 0.2787 0.3915  5 P 2.20-2.35
P: 0.5000 0.7760 0.8073  5 Ni 2.20-2.35
P: 0.7240 0.0000 0.3073  5 Ni 2.20-2.35
Ni: 0.7787 0.5000 0.8915  5 P 2.20-2.35
P: 0.5000 0.2240 0.8073  5 Ni 2.20-2.35
P: 0.7760 0.5000 0.1927  5 Ni 2.20-2.35
Ni: 0.0000 0.7213 0.3915  5 P 2.20-2.35
Ni: 0.7213 0.0000 0.6085  5 P 2.20-2.35
P: 0.2240 0.5000 0.1927  5 Ni 2.20-2.35
P: 0.2760 0.0000 0.3073  5 Ni 2.20-2.35
Ni: 0.5000 0.2213 0.1085  5 P 2.20-2.35
Ni: 0.2213 0.5000 0.8915  5 P 2.20-2.35

## Properties
Total magnetization   7.7 μB per cell
DOS at the Fermi energy   1.506 states/eV/atom
Final energy   -6.86 eV per atom
Energy relative to the elements   -0.44 eV/atom

***

Entry from Alexandria via LeMat-Bulk: NpNiP3 after structural relaxation (PBE-GGA).

Lattice parameters (Å, degrees): 5.2466 5.2761 11.3727 90.00 90.00 90.00
Closest atoms and distances in Å follow each position.
Atoms (fractional coordinates):
P: 0.5000 0.2500 0.4982  4 P 2.62-2.64, 4 Np 2.87-2.88
P: 0.7500 0.9923 0.7746  2 Ni 2.47, 1 P 2.76
Np: 0.2500 0.0077 0.6929  9 P 2.76-2.88
Np: 0.2500 0.5077 0.3071  9 P 2.76-2.88
P: 0.5000 0.7500 0.5018  4 P 2.62-2.64, 4 Np 2.87-2.88
P: 0.0000 0.7500 0.5018  4 P 2.62-2.64, 4 Np 2.87-2.88
Ni: 0.0000 0.7500 0.9198  6 P 2.27-2.47
Np: 0.7500 0.4923 0.6929  9 P 2.76-2.88
P: 0.2500 0.0077 0.2254  2 Ni 2.47, 1 P 2.76
Ni: 0.5000 0.2500 0.0802  6 P 2.27-2.47
P: 0.0000 0.2500 0.4982  4 P 2.62-2.64, 4 Np 2.87-2.88
P: 0.2500 0.1089 0.9315  4 Ni 2.27-2.31
Np: 0.7500 0.9923 0.3071  9 P 2.76-2.88
P: 0.7500 0.8911 0.0685  4 Ni 2.27-2.31
Ni: 0.5000 0.7500 0.9198  6 P 2.27-2.47
P: 0.7500 0.3911 0.9315  4 Ni 2.27-2.31
P: 0.7500 0.4923 0.2254  2 Ni 2.47, 1 P 2.76
P: 0.2500 0.6089 0.0685  4 Ni 2.27-2.31
Ni: 0.0000 0.2500 0.0802  6 P 2.27-2.47
P: 0.2500 0.5077 0.7746  2 Ni 2.47, 1 P 2.76

## Properties
Total magnetization   13.4 μB per cell
DOS at the Fermi energy   1.222 states/eV/atom
Final energy   -7.52 eV per atom
Energy relative to the elements   -0.53 eV/atom